# La2PrHo2Cd5

A relaxed La2PrHo2Cd5 crystal (GGA-PBE, the Alexandria database).

Raw total energy (eV/atom): -3.0498

Structure (POSCAR):
```
La2PrHo2Cd5
1.0
4.858 0.000 0.000
0.000 10.787 0.000
0.000 0.000 10.787
La Pr Ho Cd
4 2 4 10
direct
0.000 0.676 0.176 La
0.000 0.324 0.824 La
0.000 0.176 0.324 La
0.000 0.824 0.676 La
0.000 0.000 0.000 Pr
0.000 0.500 0.500 Pr
0.000 0.121 0.621 Ho
0.000 0.879 0.379 Ho
0.000 0.621 0.879 Ho
0.000 0.379 0.121 Ho
0.500 0.199 0.070 Cd
0.500 0.801 0.930 Cd
0.500 0.070 0.801 Cd
0.500 0.699 0.430 Cd
0.500 0.930 0.199 Cd
0.500 0.301 0.570 Cd
0.500 0.570 0.699 Cd
0.500 0.430 0.301 Cd
0.500 0.500 0.000 Cd
0.500 0.000 0.500 Cd
```



# CaTbAg

A relaxed CaTbAg crystal (GGA-PBE, the Alexandria database).

Raw total energy (eV/atom): -3.3193

Structure (POSCAR):
```
CaTbAg
1.0
3.671 0.000 0.000
0.000 3.671 0.000
-1.836 -1.836 6.498
Ca Tb Ag
1 1 1
direct
0.023 0.023 0.047 Ca
0.302 0.302 0.604 Tb
0.674 0.674 0.349 Ag
```



# TbYErZr

A relaxed TbYErZr crystal (GGA-PBE, the Alexandria database).

Raw total energy (eV/atom): -5.8398

Structure (POSCAR):
```
TbYErZr
1.0
5.503 0.000 0.000
2.751 4.766 0.000
2.751 1.589 4.493
Y Tb Zr Er
1 1 1 1
direct
0.000 0.000 0.000 Y
0.750 0.750 0.750 Tb
0.500 0.500 0.500 Zr
0.250 0.250 0.250 Er
```



# LiMnHg2

A relaxed LiMnHg2 crystal (GGA-PBE, the Alexandria database).

Raw total energy (eV/atom): -2.8421

Structure (POSCAR):
```
LiMnHg2
1.0
3.632 0.000 0.000
0.000 3.632 0.000
0.000 0.000 5.854
Hg Li Mn
2 1 1
direct
0.000 0.000 0.962 Hg
0.500 0.500 0.286 Hg
0.000 0.000 0.484 Li
0.500 0.500 0.768 Mn
```



# CdAg4Pd

A relaxed CdAg4Pd crystal (GGA-PBE, the Alexandria database).

Raw total energy (eV/atom): -2.8251

Structure (POSCAR):
```
CdAg4Pd
1.0
4.587 -0.039 0.000
-2.243 7.410 0.000
0.000 0.000 7.031
Cd Ag Pd
2 8 2
direct
0.643 0.787 0.750 Cd
0.357 0.213 0.250 Cd
0.441 0.386 0.750 Ag
0.559 0.614 0.250 Ag
0.259 0.020 0.750 Ag
0.741 0.980 0.250 Ag
0.145 0.787 0.059 Ag
0.855 0.213 0.559 Ag
0.145 0.787 0.441 Ag
0.855 0.213 0.941 Ag
0.035 0.573 0.750 Pd
0.965 0.427 0.250 Pd
```



# Nd4Cu2Hg5

A relaxed Nd4Cu2Hg5 crystal (GGA-PBE, the Alexandria database).

Raw total energy (eV/atom): -2.9649

Structure (POSCAR):
```
Nd4Cu2Hg5
1.0
-3.764 0.850 0.010
-0.427 -1.809 -7.486
-2.012 -8.938 2.561
Nd Cu Hg
4 2 5
direct
0.500 0.764 0.577 Nd
0.500 0.188 0.855 Nd
0.500 0.236 0.423 Nd
0.500 0.812 0.145 Nd
0.000 0.063 0.624 Cu
0.000 0.937 0.376 Cu
0.000 0.568 0.336 Hg
0.000 0.156 0.141 Hg
0.000 0.500 0.000 Hg
0.000 0.844 0.859 Hg
0.000 0.432 0.664 Hg
```



The evaluated ΔE_f for the records listed, in turn: -213; -158; 212; 80; 94; -349 meV per atom.